[1]
DFT (GGA-PBE) results for crystalline KRb2MnCl8 at its relaxed geometry.

Cell lengths 6.735, 6.842, 9.014 Å; angles 80.78, 77.36, 72.11 degrees
Sites, in units of the cell vectors:
K  0.000  0.000  0.000
Rb  0.396  0.382  0.312
Rb  0.604  0.618  0.688
Mn  0.000  0.000  0.500
Cl  0.112  0.664  0.596
Cl  0.194  0.513  0.993
Cl  0.219  0.081  0.629
Cl  0.267  0.936  0.288
Cl  0.733  0.064  0.712
Cl  0.781  0.919  0.371
Cl  0.806  0.487  0.007
Cl  0.888  0.336  0.404

Computed properties:
Crystal system: triclinic
Formation energy (no corrections) (eV per atom): -1.311
Uncorrected energy (eV per atom): -3.56


[2]
DFT (GGA-PBE) results for crystalline KRb3Mn2Cl9 at its relaxed geometry.

Cell lengths 7.209, 7.209, 9.971 Å; angles 90.00, 90.00, 120.00 degrees
Sites, in units of the cell vectors:
K  0.000  0.000  0.000
Rb  0.000  0.000  0.500
Rb  0.333  0.667  0.226
Rb  0.667  0.333  0.774
Mn  0.333  0.667  0.655
Mn  0.667  0.333  0.345
Cl  0.000  0.500  0.500
Cl  0.173  0.347  0.783
Cl  0.173  0.827  0.783
Cl  0.347  0.173  0.217
Cl  0.500  0.000  0.500
Cl  0.500  0.500  0.500
Cl  0.653  0.827  0.783
Cl  0.827  0.173  0.217
Cl  0.827  0.653  0.217

Computed properties:
Crystal system: trigonal
Formation energy (no corrections) (eV per atom): -1.537
Uncorrected energy (eV per atom): -4.13


[3]
DFT (GGA-PBE) results for crystalline KRb3Mn2Cl8 at its relaxed geometry.

Cell lengths 7.756, 7.756, 9.413 Å; angles 90.00, 90.00, 120.00 degrees
Sites, in units of the cell vectors:
K  0.000  0.000  0.000
Rb  0.000  0.000  0.500
Rb  0.333  0.667  0.115
Rb  0.667  0.333  0.885
Mn  0.333  0.667  0.691
Mn  0.667  0.333  0.309
Cl  0.174  0.349  0.800
Cl  0.174  0.826  0.800
Cl  0.333  0.667  0.448
Cl  0.349  0.174  0.200
Cl  0.651  0.826  0.800
Cl  0.667  0.333  0.552
Cl  0.826  0.174  0.200
Cl  0.826  0.651  0.200

Computed properties:
Crystal system: trigonal
Formation energy (no corrections) (eV per atom): -1.587
Uncorrected energy (eV per atom): -4.24


[4]
DFT (GGA-PBE) results for crystalline K2RbMnCl5 at its relaxed geometry.

Cell lengths 9.500, 9.500, 9.500 Å; angles 125.32, 125.32, 81.00 degrees
Sites, in units of the cell vectors:
K  0.166  0.666  0.832
K  0.334  0.166  0.500
K  0.666  0.834  0.500
K  0.834  0.334  0.168
Rb  0.250  0.250  0.000
Rb  0.750  0.750  0.000
Mn  0.250  0.750  0.500
Mn  0.750  0.250  0.500
Cl  0.000  0.000  0.000
Cl  0.001  0.794  0.500
Cl  0.206  0.706  0.206
Cl  0.294  0.501  0.500
Cl  0.499  0.999  0.794
Cl  0.500  0.500  0.000
Cl  0.501  0.001  0.206
Cl  0.706  0.499  0.500
Cl  0.794  0.294  0.794
Cl  0.999  0.206  0.500

Computed properties:
Crystal system: tetragonal
Formation energy (no corrections) (eV per atom): -1.685
Uncorrected energy (eV per atom): -4.08


[5]
DFT (GGA-PBE) results for crystalline KMnRh2Cl at its relaxed geometry.

Cell lengths 4.562, 4.562, 5.213 Å; angles 90.00, 90.00, 90.00 degrees
Sites, in units of the cell vectors:
K  0.000  0.000  0.000
Mn  0.500  0.500  0.000
Rh  0.000  0.500  0.500
Rh  0.500  0.000  0.500
Cl  0.000  0.000  0.500

Computed properties:
Crystal system: tetragonal
Formation energy (no corrections) (eV per atom): 0.759
Uncorrected energy (eV per atom): -4.60


[6]
DFT (GGA-PBE) results for crystalline KMnSCl2 at its relaxed geometry.

Cell lengths 5.070, 5.070, 4.595 Å; angles 90.00, 90.00, 90.00 degrees
Sites, in units of the cell vectors:
K  0.000  0.000  0.000
Mn  0.500  0.500  0.500
S  0.500  0.500  0.000
Cl  0.000  0.500  0.500
Cl  0.500  0.000  0.500

Computed properties:
Polymorph energy (0 for the lowest one) (eV/atom): 0.0000
Crystal system: tetragonal
Formation energy (no corrections) (eV per atom): -1.047
Uncorrected energy (eV per atom): -4.66


Q: Which value of uncorrected energy does entry 5 give?
A: -4.60 eV per atom